# K2SrNb6Cl18, optimized geometry, DFT PBEsol
# Spin magnetization in μB/f.u.: 0.00
# Raw formation energy in meV per atom: -1536
data_K2SrNb6Cl18
_cell_length_a 9.3070
_cell_length_b 9.3070
_cell_length_c 25.8474
_cell_angle_alpha 90.00
_cell_angle_beta 90.00
_cell_angle_gamma 120.00
_space_group_name_H-M_alt 'R -3'
_space_group_IT_number 148
_space_group_name_Hall '-R 3'
loop_
_atom_site_label
_atom_site_type_symbol
_atom_site_fract_x
_atom_site_fract_y
_atom_site_fract_z
_atom_site_occupancy
K1 K 0.0000 0.0000 0.2220 1
Sr1 Sr 0.0000 0.0000 0.5000 1
Nb1 Nb 0.0289 0.1935 0.0459 1
Cl1 Cl 0.0338 0.2264 0.8911 1
Cl2 Cl 0.0441 0.2769 0.4373 1
Cl3 Cl 0.0710 0.2458 0.6664 1

***

# KYNb6Cl18, optimized geometry, DFT PBEsol
# Spin magnetization in μB/f.u.: 0.00
# Raw formation energy in meV per atom: -1509
data_KYNb6Cl18
_cell_length_a 9.2830
_cell_length_b 9.2830
_cell_length_c 25.2801
_cell_angle_alpha 90.00
_cell_angle_beta 90.00
_cell_angle_gamma 120.00
_space_group_name_H-M_alt 'R 3'
_space_group_IT_number 146
_space_group_name_Hall 'R 3'
loop_
_atom_site_label
_atom_site_type_symbol
_atom_site_fract_x
_atom_site_fract_y
_atom_site_fract_z
_atom_site_occupancy
K1 K 0.0000 0.0000 0.0000 1
Y1 Y 0.0000 0.0000 0.2773 1
Nb1 Nb 0.0415 0.1978 0.8253 1
Nb2 Nb 0.1779 0.7093 0.3984 1
Cl1 Cl 0.0255 0.2435 0.2190 1
Cl2 Cl 0.0494 0.2333 0.6678 1
Cl3 Cl 0.0532 0.2496 0.4456 1
Cl4 Cl 0.1167 0.6971 0.0047 1
Cl5 Cl 0.1371 0.7191 0.7779 1
Cl6 Cl 0.1493 0.7156 0.5559 1

***

Q: Which value of raw formation energy does entry 1 give?
A: -1536 meV per atom

***

Q: What is the spin magnetization in the second record?
A: 0.00 μB/f.u.

***

Q: What is the spin magnetization in the second record?
A: 0.00 μB/f.u.

***

Q: What is the spin magnetization in the first record?
A: 0.00 μB/f.u.